{"formula": "Pm5Nd3Er", "functional": "PBE", "state": "optimized geometry", "cell": [[-7.912, -2.454, -1.461], [-1.051, -1.765, 8.157], [-10.012, 5.811, 6.725]], "species": ["Pm", "Pm", "Pm", "Pm", "Pm", "Pm", "Pm", "Pm", "Pm", "Pm", "Nd", "Nd", "Nd", "Nd", "Nd", "Nd", "Er", "Er"], "frac_coords": [[0.235, 0.735, 0.353], [0.680, 0.680, 0.576], [0.320, 0.320, 0.424], [0.664, 0.664, 0.086], [0.735, 0.235, 0.353], [0.265, 0.765, 0.647], [0.765, 0.265, 0.647], [0.336, 0.336, 0.914], [0.252, 0.748, 0.000], [0.748, 0.252, 0.000], [0.327, 0.327, 0.661], [0.000, 0.000, 0.000], [0.674, 0.674, 0.821], [0.673, 0.673, 0.339], [0.326, 0.326, 0.179], [0.000, 0.000, 0.500], [0.989, 0.989, 0.771], [0.011, 0.011, 0.229]], "energy_ry_per_atom": -0.312}


{"formula": "TbCePm14", "functional": "PBE", "state": "optimized geometry", "cell": [[7.218, 0.969, 0.000], [-0.968, 7.218, 0.000], [0.000, 0.000, 10.290]], "species": ["Pm", "Pm", "Pm", "Pm", "Pm", "Pm", "Pm", "Pm", "Pm", "Pm", "Pm", "Pm", "Pm", "Pm", "Ce", "Tb"], "frac_coords": [[0.124, 0.876, 0.248], [0.124, 0.876, 0.752], [0.124, 0.374, 0.752], [0.875, 0.625, 0.000], [0.124, 0.374, 0.248], [0.626, 0.876, 0.752], [0.375, 0.125, 0.000], [0.875, 0.625, 0.500], [0.375, 0.625, 0.500], [0.626, 0.374, 0.248], [0.375, 0.125, 0.500], [0.626, 0.876, 0.248], [0.626, 0.374, 0.752], [0.875, 0.125, 0.500], [0.875, 0.125, 0.000], [0.375, 0.625, 0.000]], "energy_ry_per_atom": -0.352}


{"formula": "LaNb3Se", "functional": "PBE", "state": "optimized geometry", "cell": [[4.901, 0.000, 0.000], [0.000, 4.901, 0.000], [0.000, 0.000, 4.901]], "species": ["Nb", "Nb", "Nb", "La", "Se"], "frac_coords": [[0.000, 0.000, 0.500], [0.000, 0.500, 0.000], [0.500, 0.000, 0.000], [0.500, 0.500, 0.500], [0.000, 0.000, 0.000]], "de_polymorph_ev_per_atom": 0.000, "raw_formation_energy_mev_per_atom": 358}


{"formula": "Tm5PtRh2", "functional": "PBE", "state": "optimized geometry", "cell": [[-6.059, -2.552, -3.230], [3.049, -6.644, -0.469], [-1.062, 2.990, 7.938]], "species": ["Tm", "Tm", "Tm", "Tm", "Tm", "Tm", "Tm", "Tm", "Tm", "Tm", "Rh", "Rh", "Rh", "Rh", "Pt", "Pt"], "frac_coords": [[0.000, 0.000, 0.000], [0.189, 0.027, 0.715], [0.973, 0.473, 0.285], [0.473, 0.311, 0.285], [0.311, 0.811, 0.285], [0.689, 0.189, 0.715], [0.811, 0.973, 0.285], [0.527, 0.689, 0.715], [0.500, 0.500, 0.000], [0.027, 0.527, 0.715], [0.366, 0.866, 0.000], [0.134, 0.366, 0.000], [0.866, 0.634, 0.000], [0.634, 0.134, 0.000], [0.750, 0.750, 0.500], [0.250, 0.250, 0.500]], "energy_ry_per_atom": -0.461}


{"formula": "Y4AlZn", "functional": "PBE", "state": "optimized geometry", "cell": [[-3.313, 3.733, 2.590], [2.299, -5.872, 5.974], [6.047, 4.872, -2.676]], "species": ["Y", "Y", "Y", "Y", "Y", "Y", "Y", "Y", "Zn", "Zn", "Al", "Al"], "frac_coords": [[0.232, 0.302, 0.371], [0.720, 0.380, 0.155], [0.768, 0.698, 0.629], [0.065, 0.225, 0.845], [0.280, 0.620, 0.845], [0.935, 0.775, 0.155], [0.361, 0.931, 0.629], [0.639, 0.069, 0.371], [0.751, 0.001, 0.002], [0.249, 0.999, 0.998], [0.630, 0.380, 0.759], [0.370, 0.620, 0.241]], "de_polymorph_ev_per_atom": 0.067}


{"formula": "CdInHBr2", "functional": "PBE", "state": "optimized geometry", "cell": [[5.823, 0.000, 0.000], [0.000, 5.823, 0.000], [0.000, 0.000, 3.780]], "species": ["Br", "Br", "Cd", "H", "In"], "frac_coords": [[0.000, 0.500, 0.000], [0.500, 0.000, 0.000], [0.000, 0.000, 0.000], [0.000, 0.000, 0.500], [0.500, 0.500, 0.500]], "energy_ry_per_atom": -0.183}


{"formula": "Sr2YTl", "functional": "PBE", "state": "optimized geometry", "cell": [[-7.200, 3.013, -3.004], [0.054, -4.951, 4.007], [-2.322, 1.960, 2.454]], "species": ["Y", "Sr", "Sr", "Tl"], "frac_coords": [[0.500, 0.500, 0.000], [0.000, 0.000, 0.000], [0.500, 0.000, 0.500], [0.000, 0.500, 0.500]], "de_polymorph_ev_per_atom": 0.138}


{"formula": "Sr2Cd2Ag7", "functional": "PBE", "state": "optimized geometry", "cell": [[3.677, -2.793, -2.188], [-4.261, 11.781, 1.736], [-4.324, 4.413, 11.037]], "species": ["Ag", "Ag", "Ag", "Ag", "Ag", "Ag", "Ag", "Cd", "Cd", "Sr", "Sr"], "frac_coords": [[0.946, 0.602, 0.870], [0.946, 0.870, 0.602], [0.054, 0.130, 0.398], [0.000, 0.000, 0.000], [0.751, 0.500, 0.500], [0.054, 0.398, 0.130], [0.249, 0.500, 0.500], [0.309, 0.202, 0.202], [0.691, 0.798, 0.798], [0.500, 0.755, 0.245], [0.500, 0.245, 0.755]], "energy_ry_per_atom": -0.177}


{"formula": "SmTaOs2", "functional": "PBE", "state": "optimized geometry", "cell": [[3.215, 0.000, 0.000], [0.000, 3.215, 0.000], [0.000, 0.000, 7.172]], "species": ["Os", "Os", "Sm", "Ta"], "frac_coords": [[0.000, 0.000, 0.789], [0.000, 0.000, 0.211], [0.500, 0.500, 0.500], [0.500, 0.500, 0.000]], "energy_ry_per_atom": -0.730}


{"formula": "BeAg2Pb", "functional": "PBE", "state": "optimized geometry", "cell": [[8.986, 0.029, 0.017], [8.417, 3.146, 0.017], [8.417, 1.536, 2.746]], "species": ["Pb", "Be", "Ag", "Ag"], "frac_coords": [[0.750, 0.750, 0.750], [0.250, 0.250, 0.250], [0.520, 0.520, 0.520], [0.980, 0.980, 0.980]], "de_polymorph_ev_per_atom": 0.087}


{"formula": "TlAsSe2", "functional": "PBE", "state": "optimized geometry", "cell": [[6.443, 0.000, -0.008], [0.000, 12.094, 0.000], [-2.895, 0.000, 12.753]], "species": ["Se", "Se", "Se", "Se", "Se", "Se", "Se", "Se", "Se", "Se", "Se", "Se", "Se", "Se", "Se", "Se", "As", "As", "As", "As", "As", "As", "As", "As", "Tl", "Tl", "Tl", "Tl", "Tl", "Tl", "Tl", "Tl"], "frac_coords": [[0.415, 0.679, 0.119], [0.574, 0.208, 0.171], [0.080, 0.037, 0.827], [0.926, 0.708, 0.329], [0.915, 0.821, 0.619], [0.585, 0.321, 0.881], [0.074, 0.292, 0.671], [0.426, 0.792, 0.829], [0.036, 0.566, 0.847], [0.920, 0.963, 0.173], [0.464, 0.066, 0.653], [0.085, 0.179, 0.381], [0.536, 0.934, 0.347], [0.964, 0.434, 0.153], [0.580, 0.463, 0.327], [0.420, 0.537, 0.673], [0.462, 0.331, 0.696], [0.038, 0.831, 0.804], [0.538, 0.669, 0.304], [0.908, 0.911, 0.355], [0.092, 0.089, 0.645], [0.408, 0.589, 0.855], [0.592, 0.411, 0.145], [0.962, 0.169, 0.196], [0.613, 0.066, 0.898], [0.595, 0.173, 0.438], [0.095, 0.327, 0.938], [0.387, 0.934, 0.102], [0.405, 0.827, 0.562], [0.905, 0.673, 0.062], [0.113, 0.434, 0.398], [0.887, 0.566, 0.602]], "raw_formation_energy_mev_per_atom": -255}


{"formula": "Zr2TaTc2", "functional": "PBE", "state": "optimized geometry", "cell": [[3.175, 0.000, 0.000], [0.000, 3.138, 0.595], [0.000, -0.216, 9.718]], "species": ["Tc", "Tc", "Zr", "Zr", "Ta"], "frac_coords": [[0.500, 0.583, 0.834], [0.500, 0.417, 0.166], [0.000, 0.830, 0.340], [0.000, 0.170, 0.660], [0.000, 0.000, 0.000]], "de_polymorph_ev_per_atom": 0.000}


{"formula": "TeRuCl4", "functional": "PBE", "state": "optimized geometry", "cell": [[0.000, 4.070, 4.070], [4.070, 0.000, 4.070], [4.070, 4.070, 0.000]], "species": ["Cl", "Cl", "Cl", "Cl", "Ru", "Te"], "frac_coords": [[0.872, 0.376, 0.376], [0.376, 0.376, 0.872], [0.376, 0.376, 0.376], [0.376, 0.872, 0.376], [0.750, 0.750, 0.750], [0.000, 0.000, 0.000]], "raw_formation_energy_mev_per_atom": 1099}


{"formula": "Hf2HPt", "functional": "PBE", "state": "optimized geometry", "cell": [[-0.699, 3.179, -2.642], [-3.760, 1.850, -0.106], [0.320, 5.590, 3.316]], "species": ["Pt", "Hf", "Hf", "H"], "frac_coords": [[0.500, 0.500, 0.500], [0.106, 0.106, 0.682], [0.894, 0.894, 0.318], [0.000, 0.000, 0.000]], "de_polymorph_ev_per_atom": 0.432}


{"formula": "Tb8GeAs5", "functional": "PBE", "state": "optimized geometry", "cell": [[7.174, 0.000, -2.497], [-3.565, 6.204, -2.550], [-0.044, 0.000, 7.596]], "species": ["As", "As", "As", "As", "As", "Tb", "Tb", "Tb", "Tb", "Tb", "Tb", "Tb", "Tb", "Ge"], "frac_coords": [[0.750, 0.624, 0.624], [0.500, 0.000, 0.500], [0.376, 0.126, 0.000], [0.000, 0.376, 0.125], [0.875, 0.874, 0.250], [0.626, 0.884, 0.875], [0.258, 0.248, 0.374], [0.761, 0.251, 0.376], [0.991, 0.116, 0.742], [0.125, 0.749, 0.510], [0.624, 0.385, 0.875], [0.125, 0.752, 0.009], [0.490, 0.615, 0.239], [0.250, 0.500, 0.750]], "energy_ry_per_atom": -0.429}


{"formula": "SbIF2", "functional": "PBE", "state": "optimized geometry", "cell": [[4.960, 0.000, 0.000], [0.000, 4.960, 0.000], [2.480, 2.480, 7.344]], "species": ["F", "F", "F", "F", "Sb", "Sb", "I", "I"], "frac_coords": [[0.375, 0.125, 0.250], [0.375, 0.625, 0.750], [0.375, 0.625, 0.250], [0.875, 0.625, 0.750], [0.250, 0.750, 0.500], [0.500, 0.500, 0.000], [0.000, 0.000, 0.000], [0.750, 0.250, 0.500]], "de_polymorph_ev_per_atom": 0.343, "raw_formation_energy_mev_per_atom": -1279}


{"formula": "Ba2TlSiIr", "functional": "PBE", "state": "optimized geometry", "cell": [[6.193, 0.000, 0.000], [0.000, 6.193, 0.000], [0.000, 0.000, 4.606]], "species": ["Ba", "Ba", "Ir", "Si", "Tl"], "frac_coords": [[0.000, 0.500, 0.000], [0.500, 0.000, 0.000], [0.000, 0.000, 0.000], [0.000, 0.000, 0.500], [0.500, 0.500, 0.500]], "raw_formation_energy_mev_per_atom": -279}


{"formula": "La6PrTm", "functional": "PBE", "state": "optimized geometry", "cell": [[-1.275, -4.949, -1.062], [2.545, 0.320, -4.546], [8.770, -3.264, 4.679]], "species": ["La", "La", "La", "La", "La", "La", "Tm", "Pr"], "frac_coords": [[0.000, 0.500, 0.747], [0.500, 0.500, 0.500], [0.000, 0.500, 0.253], [0.500, 0.500, 0.000], [0.500, 0.000, 0.253], [0.500, 0.000, 0.747], [0.000, 0.000, 0.500], [0.000, 0.000, 0.000]], "energy_ry_per_atom": -0.356}


{"formula": "BaSbAu", "functional": "PBE", "state": "optimized geometry", "cell": [[4.843, -2.796, 0.000], [0.000, 5.593, 0.000], [0.000, 0.000, 13.757]], "species": ["Ba", "Ba", "Sb", "Sb", "Au", "Au"], "frac_coords": [[0.000, 0.000, 0.750], [0.000, 0.000, 0.250], [0.000, 0.000, 0.000], [0.000, 0.000, 0.500], [0.333, 0.667, 0.250], [0.667, 0.333, 0.750]], "raw_formation_energy_mev_per_atom": 303}


{"formula": "Sm3ErAg", "functional": "PBE", "state": "optimized geometry", "cell": [[-1.821, -6.825, 0.699], [6.932, 0.468, 1.456], [-2.665, 5.335, 5.544]], "species": ["Sm", "Sm", "Sm", "Sm", "Sm", "Sm", "Ag", "Ag", "Er", "Er"], "frac_coords": [[0.799, 0.968, 0.187], [0.747, 0.452, 0.199], [0.201, 0.032, 0.813], [0.253, 0.548, 0.801], [0.781, 0.612, 0.813], [0.219, 0.388, 0.187], [0.316, 0.230, 0.545], [0.684, 0.770, 0.455], [0.316, 0.924, 0.240], [0.684, 0.076, 0.760]], "energy_ry_per_atom": -0.313}